Record 1
! Na2InB2Pd5 (GGA-PBE, optimized geometry); values from VASP
&SYSTEM
  ibrav = 0, nat = 20, ntyp = 4
/
ATOMIC_SPECIES
Na 22.99 Na.upf
In 114.82 In.upf
B 10.81 B.upf
Pd 106.42 Pd.upf
CELL_PARAMETERS angstrom
10.052 0.000 0.000
0.000 10.052 0.000
0.000 0.000 3.008
ATOMIC_POSITIONS angstrom
Na 1.797 3.229 0.000
Na 3.229 8.255 0.000
Na 6.823 1.797 0.000
Na 8.255 6.823 0.000
In 0.000 0.000 0.000
In 5.026 5.026 0.000
B 1.216 6.242 0.000
B 3.809 1.216 0.000
B 6.242 8.835 0.000
B 8.835 3.809 0.000
Pd 0.000 5.026 1.504
Pd 0.688 7.733 1.504
Pd 2.318 0.688 1.504
Pd 2.707 5.714 1.504
Pd 4.338 2.707 1.504
Pd 5.026 0.000 1.504
Pd 5.714 7.344 1.504
Pd 7.344 4.338 1.504
Pd 7.733 9.364 1.504
Pd 9.364 2.318 1.504
! Symmetry   No. 127
! Volume   15.2 Å³ per atom
! Formation energy from the elements   -0.298 eV per atom
! Spin magnetization   0.000 μB per atom
! Calculated density   7.8 g cm⁻³

***

Record 2
! TbGdTlIn (GGA-PBE, optimized geometry); values from VASP
&SYSTEM
  ibrav = 0, nat = 4, ntyp = 4
/
ATOMIC_SPECIES
Tb 158.93 Tb.upf
Gd 157.25 Gd.upf
Tl 204.38 Tl.upf
In 114.82 In.upf
CELL_PARAMETERS angstrom
0.000 3.803 3.803
3.803 0.000 3.803
3.803 3.803 0.000
ATOMIC_POSITIONS angstrom
Tb 0.000 0.000 0.000
Gd 3.803 3.803 3.803
Tl 5.705 5.705 5.705
In 1.902 1.902 1.902
! Symmetry   No. 216
! Volume   27.5 Å³ per atom
! Formation energy from the elements   -0.419 eV per atom
! Spin magnetization   1.818 μB per atom
! Calculated density   9.6 g cm⁻³

***

Record 3
! CsCoTcBi2 (GGA-PBE, optimized geometry); values from VASP
&SYSTEM
  ibrav = 0, nat = 5, ntyp = 4
/
ATOMIC_SPECIES
Cs 132.91 Cs.upf
Co 58.93 Co.upf
Tc 98.00 Tc.upf
Bi 208.98 Bi.upf
CELL_PARAMETERS angstrom
6.194 0.000 0.000
0.000 6.194 0.000
0.000 0.000 4.797
ATOMIC_POSITIONS angstrom
Cs 0.000 0.000 0.000
Co 0.000 0.000 2.399
Tc 3.097 3.097 2.399
Bi 0.000 3.097 0.000
Bi 3.097 0.000 0.000
! Symmetry   No. 123
! Volume   36.8 Å³ per atom
! Formation energy from the elements   2.441 eV per atom
! Spin magnetization   1.014 μB per atom
! Calculated density   6.4 g cm⁻³